DFT (GGA-PBE) results for crystalline Ac12La5Tl2 at its relaxed geometry.

a = 16.6885 Å, b = 10.3296 Å, c = 9.1930 Å
α = 90.00°, β = 94.08°, γ = 90.00°
Last column: nearest neighbours and their distance in Å.
Space group C2/m (No. 12)
Inequivalent atoms, fractional coordinates:
Ac 0.0558 0.0000 0.3119 [4 per cell]  2 Tl 3.50, 2 La 3.59-3.62, 6 Ac 3.66-3.89
Ac 0.0814 0.5000 0.8806 [4 per cell]  5 Ac 3.61-3.85, 3 La 3.66-4.00, 2 Tl 3.74
Ac 0.1249 0.1960 0.6598 [8 per cell]  5 Ac 3.66-4.05, 4 La 3.71-3.99, 1 Tl 3.88
Ac 0.1470 0.3150 0.2332 [8 per cell]  1 Tl 3.42, 2 Ac 3.69-3.82
La 0.0000 0.5000 0.5000 [2 per cell]  10 Ac 3.66-4.07, 2 La 3.91
La 0.1826 0.0000 0.0078 [4 per cell]  2 Tl 3.58, 6 Ac 3.62-4.00, 1 La 3.91
La 0.2329 0.5000 0.5844 [4 per cell]  8 Ac 3.59-3.94, 2 La 3.91
Tl 0.0000 0.1830 0.0000 [4 per cell]  6 Ac 3.42-3.74, 2 La 3.58, 1 Tl 3.78

Calculated values
Calculated total energy ... -4.120 eV/atom
Density ... 8.0 g/cm³
ΔE_f ... 38 kJ/mol of formula units